VASP calculation (GGA-PBE) on crystalline CeTmPtPb at its relaxed geometry.

Cell and atoms, written as CIF:
```
data_CeTmPtPb
_symmetry_space_group_name_H-M 'P 1'
_symmetry_Int_Tables_number 1
_cell_length_a 5.2339
_cell_length_b 5.2339
_cell_length_c 5.2339
_cell_angle_alpha 60.00
_cell_angle_beta 60.00
_cell_angle_gamma 60.00
loop_
_symmetry_equiv_pos_as_xyz
'x,y,z'
loop_
_atom_site_label
_atom_site_fract_x
_atom_site_fract_y
_atom_site_fract_z
Ce1 0.0000 0.0000 0.0000
Tm1 0.5000 0.5000 0.5000
Pt1 0.2500 0.2500 0.2500
Pb1 0.7500 0.7500 0.7500
```

Calculated values
The total DFT energy (no corrections) is -0.416 Ry per atom.

***

VASP calculation (GGA-PBE) on crystalline Pm3Nd4Er5 at its relaxed geometry.

Cell and atoms, written as CIF:
```
data_Pm3Nd4Er5
_symmetry_space_group_name_H-M 'P 1'
_symmetry_Int_Tables_number 1
_cell_length_a 6.2385
_cell_length_b 7.1945
_cell_length_c 8.8152
_cell_angle_alpha 90.11
_cell_angle_beta 90.04
_cell_angle_gamma 90.09
loop_
_symmetry_equiv_pos_as_xyz
'x,y,z'
loop_
_atom_site_label
_atom_site_fract_x
_atom_site_fract_y
_atom_site_fract_z
Pm1 0.0000 0.0000 0.0000
Pm2 0.1682 0.7516 0.6684
Pm3 0.8318 0.2484 0.3316
Nd1 0.1681 0.2490 0.6684
Nd2 0.3316 0.5001 0.3297
Nd3 0.6684 0.4999 0.6703
Nd4 0.8319 0.7510 0.3316
Er1 0.0000 0.5000 0.0000
Er2 0.3347 0.9999 0.3300
Er3 0.5002 0.2484 0.0000
Er4 0.4998 0.7516 0.0000
Er5 0.6653 0.0001 0.6700
```

Calculated values
Its energy relative to the lowest polymorph listed for this composition is 0 meV per atom.

***

VASP calculation (GGA-PBE) on crystalline Nb3TcMo at its relaxed geometry.

Cell and atoms, written as CIF:
```
data_Nb3TcMo
_symmetry_space_group_name_H-M 'P 1'
_symmetry_Int_Tables_number 1
_cell_length_a 4.7420
_cell_length_b 4.7420
_cell_length_c 4.7420
_cell_angle_alpha 90.00
_cell_angle_beta 90.00
_cell_angle_gamma 90.00
loop_
_symmetry_equiv_pos_as_xyz
'x,y,z'
loop_
_atom_site_label
_atom_site_fract_x
_atom_site_fract_y
_atom_site_fract_z
Nb1 0.0000 0.0000 0.5000
Nb2 0.0000 0.5000 0.0000
Nb3 0.5000 0.0000 0.0000
Tc1 0.0000 0.0000 0.0000
Mo1 0.5000 0.5000 0.5000
```

Calculated values
Its energy relative to the lowest polymorph listed for this composition is 1614 meV per atom.

***

VASP calculation (GGA-PBE) on crystalline MoPtW at its relaxed geometry.

Cell and atoms, written as CIF:
```
data_MoPtW
_symmetry_space_group_name_H-M 'P 1'
_symmetry_Int_Tables_number 1
_cell_length_a 2.7811
_cell_length_b 2.7811
_cell_length_c 7.1160
_cell_angle_alpha 90.00
_cell_angle_beta 90.00
_cell_angle_gamma 120.00
loop_
_symmetry_equiv_pos_as_xyz
'x,y,z'
loop_
_atom_site_label
_atom_site_fract_x
_atom_site_fract_y
_atom_site_fract_z
Mo1 0.0000 0.0000 0.0000
Pt1 0.6667 0.3333 0.3276
W1 0.3333 0.6667 0.6549
```

Calculated values
Its energy relative to the lowest polymorph listed for this composition is 159 meV per atom.

***

Q: Which formula does entry 4 have?
A: MoPtW